Run i
A plane-wave DFT calculation with PBE was carried out for crystalline TcTe2H at its relaxed geometry.

Computed properties:
Theoretical density: 6.25 Mg/m³

CIF file:
```
data_TcTe2H
_chemical_formula_sum 'Tc3 Te6 H3'
_cell_length_a 4.0496
_cell_length_b 4.0496
_cell_length_c 19.8913
_cell_angle_alpha 90.00
_cell_angle_beta 90.00
_cell_angle_gamma 120.00
_symmetry_space_group_name_H-M 'R -3 m'
_symmetry_Int_Tables_number 166
_symmetry_space_group_name_Hall '-R 3 2"'
loop_
_atom_site_label
_atom_site_fract_x
_atom_site_fract_y
_atom_site_fract_z
Tc1 0.0000 0.0000 0.0000
Te1 0.0000 0.0000 0.4008
H1 0.0000 0.0000 0.5000
```


Run ii
A plane-wave DFT calculation with PBE was carried out for crystalline TcTe2H at its relaxed geometry.

Computed properties:
Theoretical density: 6.63 Mg/m³

CIF file:
```
data_TcTe2H
_chemical_formula_sum 'Tc4 Te8 H4'
_cell_length_a 5.645
_cell_length_b 5.645
_cell_length_c 11.138
_cell_angle_alpha 90.00
_cell_angle_beta 90.00
_cell_angle_gamma 90.00
_symmetry_space_group_name_H-M 'I -4 2 d'
_symmetry_Int_Tables_number 122
_symmetry_space_group_name_Hall 'I -4 2bw'
loop_
_atom_site_label
_atom_site_fract_x
_atom_site_fract_y
_atom_site_fract_z
Tc1 0.000 0.000 0.000
Te1 0.217 0.250 0.625
H1 0.000 0.000 0.500
```


Run iii
A plane-wave DFT calculation with PBE was carried out for crystalline TcTe2H at its relaxed geometry.

Computed properties:
Theoretical density: 8.58 Mg/m³

CIF file:
```
data_TcTe2H
_chemical_formula_sum 'Tc4 Te8 H4'
_cell_length_a 6.497
_cell_length_b 6.497
_cell_length_c 6.497
_cell_angle_alpha 90.00
_cell_angle_beta 90.00
_cell_angle_gamma 90.00
_symmetry_space_group_name_H-M 'F m -3 m'
_symmetry_Int_Tables_number 225
_symmetry_space_group_name_Hall '-F 4 2 3'
loop_
_atom_site_label
_atom_site_fract_x
_atom_site_fract_y
_atom_site_fract_z
Tc1 0.000 0.000 0.000
Te1 0.250 0.250 0.250
H1 0.000 0.000 0.500
```


Run iv
A plane-wave DFT calculation with PBE was carried out for crystalline TcTe2H at its relaxed geometry.

Computed properties:
Theoretical density: 7.93 Mg/m³

CIF file:
```
data_TcTe2H
_chemical_formula_sum 'Tc3 Te6 H3'
_cell_length_a 3.1848
_cell_length_b 3.1848
_cell_length_c 25.3325
_cell_angle_alpha 90.00
_cell_angle_beta 90.00
_cell_angle_gamma 120.00
_symmetry_space_group_name_H-M 'R -3 m'
_symmetry_Int_Tables_number 166
_symmetry_space_group_name_Hall '-R 3 2"'
loop_
_atom_site_label
_atom_site_fract_x
_atom_site_fract_y
_atom_site_fract_z
Tc1 0.0000 0.0000 0.0000
Te1 0.0000 0.0000 0.1017
H1 0.0000 0.0000 0.5000
```


Which of them is the least stable? Correct choice: run iv.